--- one ---
A relaxed structure of HfZr2Be2, computed with GGA-PBEsol.

a b c (Å): 7.223 7.223 3.198
angles (deg): 90.00 90.00 90.00
Space group P4/mbm (No. 127)
One atom of each set of equivalent atoms:
Hf1 0.000 0.000 0.000
Zr1 0.179 0.321 0.500
Be1 0.111 0.611 0.000

* size of the total moment: 0.000 μB per atom
* V: 166.9 Å³ per cell

--- two ---
A relaxed structure of HfZr2Be2, computed with GGA-PBEsol.

a b c (Å): 4.157 4.157 10.076
angles (deg): 90.00 90.00 90.00
Space group I4/mmm (No. 139)
One atom of each set of equivalent atoms:
Hf1 0.000 0.000 0.000
Zr1 0.000 0.000 0.368
Be1 0.000 0.500 0.250

* size of the total moment: 0.000 μB per atom
* V: 174.1 Å³ per cell

Last place for stability: two

--- one ---
A relaxed structure of Li2BeHg, computed with GGA-PBEsol.

a b c (Å): 2.820 4.354 4.853
angles (deg): 90.00 90.26 90.00
Space group Pm (No. 6)
One atom of each set of equivalent atoms:
Li1 0.000 0.000 0.000
Li2 0.007 0.500 0.691
Be1 0.507 0.500 0.204
Hg1 0.503 0.000 0.480

* size of the total moment: 0.000 μB per atom
* V: 59.6 Å³ per cell

--- two ---
A relaxed structure of Li2BeHg, computed with GGA-PBEsol.

a b c (Å): 2.963 3.391 5.930
angles (deg): 90.00 90.00 90.00
Space group Pmm2 (No. 25)
One atom of each set of equivalent atoms:
Li1 0.000 0.000 0.000
Li2 0.500 0.500 0.273
Be1 0.000 0.000 0.511
Hg1 0.500 0.500 0.734

* size of the total moment: 0.000 μB per atom
* V: 59.6 Å³ per cell

Last place for stability: two

--- one ---
A relaxed structure of BeHg2Pb, computed with GGA-PBEsol.

a b c (Å): 3.4626 3.4626 24.6276
angles (deg): 90.00 90.00 120.00
Space group R3m (No. 160, hexagonal axes)
One atom of each set of equivalent atoms:
Be1 0.0000 0.0000 0.0000
Hg1 0.0000 0.0000 0.2743
Hg2 0.0000 0.0000 0.5148
Pb1 0.0000 0.0000 0.7448

* size of the total moment: 0.000 μB per atom
* V: 255.7 Å³ per cell

--- two ---
A relaxed structure of BeHg2Pb, computed with GGA-PBEsol.

a b c (Å): 4.413 4.413 8.855
angles (deg): 90.00 90.00 90.00
Space group I-4m2 (No. 119)
One atom of each set of equivalent atoms:
Be1 0.000 0.000 0.000
Hg1 0.000 0.000 0.500
Hg2 0.000 0.500 0.250
Pb1 0.000 0.500 0.750

* size of the total moment: 0.000 μB per atom
* V: 172.4 Å³ per cell

Last place for stability: two

--- one ---
A relaxed structure of BeHg2Pb, computed with GGA-PBEsol.

a b c (Å): 4.734 3.437 6.142
angles (deg): 90.00 112.42 90.00
Space group Pm (No. 6)
One atom of each set of equivalent atoms:
Be1 0.000 0.000 0.000
Hg1 0.537 0.000 0.074
Hg2 0.848 0.500 0.701
Pb1 0.186 0.500 0.372

* size of the total moment: 0.000 μB per atom
* V: 92.4 Å³ per cell

--- two ---
A relaxed structure of BeHg2Pb, computed with GGA-PBEsol.

a b c (Å): 4.058 4.058 10.598
angles (deg): 90.00 90.00 90.00
Space group I4/mmm (No. 139)
One atom of each set of equivalent atoms:
Be1 0.000 0.000 0.000
Hg1 0.000 0.500 0.250
Pb1 0.000 0.000 0.500

* size of the total moment: 0.000 μB per atom
* V: 174.6 Å³ per cell

Last place for stability: two

--- one ---
A relaxed structure of BeHg2Pt, computed with GGA-PBEsol.

a b c (Å): 3.532 4.227 8.674
angles (deg): 90.00 90.00 90.00
Space group Immm (No. 71)
One atom of each set of equivalent atoms:
Be1 0.000 0.000 0.000
Hg1 0.000 0.500 0.283
Pt1 0.000 0.000 0.500

* size of the total moment: 0.000 μB per atom
* V: 129.5 Å³ per cell

--- two ---
A relaxed structure of BeHg2Pt, computed with GGA-PBEsol.

a b c (Å): 5.547 9.360 3.014
angles (deg): 90.00 118.90 90.00
Space group C2/m (No. 12)
One atom of each set of equivalent atoms:
Be1 0.000 0.000 0.000
Hg1 0.250 0.250 0.000
Pt1 0.000 0.500 0.000

* size of the total moment: 0.000 μB per atom
* V: 137.0 Å³ per cell

Last place for stability: two

--- one ---
A relaxed structure of BeHg2Pt, computed with GGA-PBEsol.

a b c (Å): 2.884 2.884 8.103
angles (deg): 90.00 90.00 90.00
Space group P4mm (No. 99)
One atom of each set of equivalent atoms:
Be1 0.000 0.000 0.000
Hg1 0.000 0.000 0.585
Hg2 0.500 0.500 0.254
Pt1 0.500 0.500 0.865

* size of the total moment: 0.000 μB per atom
* V: 67.4 Å³ per cell

--- two ---
A relaxed structure of BeHg2Pt, computed with GGA-PBEsol.

a b c (Å): 3.933 3.933 8.429
angles (deg): 90.00 90.00 90.00
Space group I-4m2 (No. 119)
One atom of each set of equivalent atoms:
Be1 0.000 0.000 0.000
Hg1 0.000 0.000 0.500
Hg2 0.000 0.500 0.250
Pt1 0.000 0.500 0.750

* size of the total moment: 0.000 μB per atom
* V: 130.4 Å³ per cell

--- three ---
A relaxed structure of BeHg2Pt, computed with GGA-PBEsol.

a b c (Å): 6.407 6.407 6.407
angles (deg): 90.00 90.00 90.00
Space group F-43m (No. 216)
One atom of each set of equivalent atoms:
Be1 0.000 0.000 0.000
Hg1 0.000 0.000 0.500
Hg2 0.250 0.250 0.250
Pt1 0.250 0.250 0.750

* size of the total moment: 0.000 μB per atom
* V: 263.0 Å³ per cell

Last place for stability: three

--- one ---
A relaxed structure of Be2HgSb, computed with GGA-PBEsol.

a b c (Å): 4.680 4.680 3.093
angles (deg): 90.00 90.00 90.00
Space group P4/mmm (No. 123)
One atom of each set of equivalent atoms:
Be1 0.000 0.500 0.000
Hg1 0.000 0.000 0.500
Sb1 0.500 0.500 0.500

* size of the total moment: 0.000 μB per atom
* V: 67.7 Å³ per cell

--- two ---
A relaxed structure of Be2HgSb, computed with GGA-PBEsol.

a b c (Å): 2.902 3.619 6.390
angles (deg): 90.00 90.00 90.00
Space group Pmmm (No. 47)
One atom of each set of equivalent atoms:
Be1 0.000 0.000 0.198
Hg1 0.500 0.500 0.000
Sb1 0.500 0.500 0.500

* size of the total moment: 0.000 μB per atom
* V: 67.1 Å³ per cell

Last place for stability: one

--- one ---
A relaxed structure of BeHg2Se, computed with GGA-PBEsol.

a b c (Å): 4.813 4.813 6.916
angles (deg): 90.00 90.00 90.00
Space group I-4m2 (No. 119)
One atom of each set of equivalent atoms:
Be1 0.000 0.000 0.000
Hg1 0.000 0.000 0.500
Hg2 0.000 0.500 0.250
Se1 0.000 0.500 0.750

* size of the total moment: 0.000 μB per atom
* V: 160.2 Å³ per cell

--- two ---
A relaxed structure of BeHg2Se, computed with GGA-PBEsol.

a b c (Å): 6.840 6.840 6.840
angles (deg): 90.00 90.00 90.00
Space group Fm-3m (No. 225)
One atom of each set of equivalent atoms:
Be1 0.000 0.000 0.000
Hg1 0.250 0.250 0.250
Se1 0.000 0.000 0.500

* size of the total moment: 0.000 μB per atom
* V: 320.0 Å³ per cell

Last place for stability: two

--- one ---
A relaxed structure of BeHg2Se, computed with GGA-PBEsol.

a b c (Å): 3.792 3.792 6.076
angles (deg): 90.00 90.00 90.00
Space group P4/mmm (No. 123)
One atom of each set of equivalent atoms:
Be1 0.000 0.000 0.000
Hg1 0.000 0.500 0.500
Se1 0.500 0.500 0.000

* size of the total moment: 0.000 μB per atom
* V: 87.4 Å³ per cell

--- two ---
A relaxed structure of BeHg2Se, computed with GGA-PBEsol.

a b c (Å): 3.8716 3.8716 17.9750
angles (deg): 90.00 90.00 120.00
Space group R-3m (No. 166, hexagonal axes)
One atom of each set of equivalent atoms:
Be1 0.0000 0.0000 0.0000
Hg1 0.0000 0.0000 0.2642
Se1 0.0000 0.0000 0.5000

* size of the total moment: 0.000 μB per atom
* V: 233.3 Å³ per cell

Last place for stability: one

--- one ---
A relaxed structure of BeHgSe2, computed with GGA-PBEsol.

a b c (Å): 5.695 5.695 10.814
angles (deg): 90.00 90.00 90.00
Space group I-42d (No. 122)
One atom of each set of equivalent atoms:
Be1 0.000 0.000 0.000
Hg1 0.000 0.000 0.500
Se1 0.187 0.250 0.125

* size of the total moment: 0.000 μB per atom
* V: 350.8 Å³ per cell

--- two ---
A relaxed structure of BeHgSe2, computed with GGA-PBEsol.

a b c (Å): 6.683 6.683 6.683
angles (deg): 90.00 90.00 90.00
Space group F-43m (No. 216)
One atom of each set of equivalent atoms:
Be1 0.000 0.000 0.000
Hg1 0.250 0.250 0.250
Se1 0.000 0.000 0.500
Se2 0.250 0.250 0.750

* size of the total moment: 0.000 μB per atom
* V: 298.4 Å³ per cell

Last place for stability: two

--- one ---
A relaxed structure of Be2SiHg, computed with GGA-PBEsol.

a b c (Å): 2.9141 2.9141 22.2746
angles (deg): 90.00 90.00 120.00
Space group R-3m (No. 166, hexagonal axes)
One atom of each set of equivalent atoms:
Be1 0.0000 0.0000 0.2432
Si1 0.0000 0.0000 0.5000
Hg1 0.0000 0.0000 0.0000

* size of the total moment: 0.000 μB per atom
* V: 163.8 Å³ per cell

--- two ---
A relaxed structure of Be2SiHg, computed with GGA-PBEsol.

a b c (Å): 3.890 3.890 3.593
angles (deg): 90.00 90.00 90.00
Space group P4/mmm (No. 123)
One atom of each set of equivalent atoms:
Be1 0.000 0.500 0.000
Si1 0.000 0.000 0.500
Hg1 0.500 0.500 0.500

* size of the total moment: 0.000 μB per atom
* V: 54.4 Å³ per cell

--- three ---
A relaxed structure of Be2SiHg, computed with GGA-PBEsol.

a b c (Å): 2.843 3.399 5.525
angles (deg): 90.00 90.00 90.00
Space group Pmmm (No. 47)
One atom of each set of equivalent atoms:
Be1 0.000 0.000 0.196
Si1 0.500 0.500 0.000
Hg1 0.500 0.500 0.500

* size of the total moment: 0.000 μB per atom
* V: 53.4 Å³ per cell

Last place for stability: two

--- one ---
A relaxed structure of BeHgTe2, computed with GGA-PBEsol.

a b c (Å): 6.095 6.095 11.808
angles (deg): 90.00 90.00 90.00
Space group I-42d (No. 122)
One atom of each set of equivalent atoms:
Be1 0.000 0.000 0.000
Hg1 0.000 0.000 0.500
Te1 0.198 0.250 0.125

* size of the total moment: 0.000 μB per atom
* V: 438.6 Å³ per cell

--- two ---
A relaxed structure of BeHgTe2, computed with GGA-PBEsol.

a b c (Å): 6.157 8.014 4.744
angles (deg): 90.00 123.09 90.00
Space group C2/m (No. 12)
One atom of each set of equivalent atoms:
Be1 0.000 0.000 0.000
Hg1 0.000 0.500 0.000
Te1 0.250 0.250 0.500

* size of the total moment: 0.000 μB per atom
* V: 196.1 Å³ per cell

Last place for stability: two

--- one ---
A relaxed structure of Be2TlHg, computed with GGA-PBEsol.

a b c (Å): 3.1836 3.1836 22.9518
angles (deg): 90.00 90.00 120.00
Space group R-3m (No. 166, hexagonal axes)
One atom of each set of equivalent atoms:
Be1 0.0000 0.0000 0.2441
Tl1 0.0000 0.0000 0.0000
Hg1 0.0000 0.0000 0.5000

* size of the total moment: 0.000 μB per atom
* V: 201.5 Å³ per cell

--- two ---
A relaxed structure of Be2TlHg, computed with GGA-PBEsol.

a b c (Å): 3.234 4.134 5.449
angles (deg): 90.00 94.84 90.00
Space group P2/m (No. 10)
One atom of each set of equivalent atoms:
Be1 0.222 0.000 0.333
Tl1 0.000 0.500 0.000
Hg1 0.500 0.500 0.500

* size of the total moment: 0.000 μB per atom
* V: 72.6 Å³ per cell

Last place for stability: two

--- one ---
A relaxed structure of Y2BeHg, computed with GGA-PBEsol.

a b c (Å): 8.161 3.625 6.824
angles (deg): 90.00 103.13 90.00
Space group C2/m (No. 12)
One atom of each set of equivalent atoms:
Y1 0.242 0.000 0.219
Be1 0.000 0.500 0.000
Hg1 0.000 0.000 0.500

* size of the total moment: 0.000 μB per atom
* V: 196.6 Å³ per cell

--- two ---
A relaxed structure of Y2BeHg, computed with GGA-PBEsol.

a b c (Å): 4.758 3.664 6.008
angles (deg): 90.00 108.98 90.00
Space group P2/m (No. 10)
One atom of each set of equivalent atoms:
Y1 0.000 0.000 0.000
Y2 0.500 0.500 0.500
Be1 0.000 0.000 0.500
Hg1 0.500 0.500 0.000

* size of the total moment: 0.000 μB per atom
* V: 99.1 Å³ per cell

Last place for stability: two